# 1
Density functional theory data (PBE-GGA) for an optimized crystal structure of NbCu2Pd.

Properties
As for the space-group type: No. 123. For the distance to the lowest polymorph of the same formula, the calculation gives 9 meV per atom. For the total energy, the calculation gives -5.895 eV/atom.

a = 2.856 Å, b = 2.856 Å, c = 7.088 Å
α = 90.00°, β = 90.00°, γ = 90.00°
Atoms (fractional coordinates):
Nb1 0.000 0.000 0.000
Cu1 0.500 0.500 0.264
Cu2 0.500 0.500 0.736
Pd1 0.000 0.000 0.500

# 2
Density functional theory data (PBE-GGA) for an optimized crystal structure of NbCuPd2Pt2.

Properties
As for the space-group type: No. 11. For the total energy, the calculation gives -6.104 eV/atom.

a = 6.617 Å, b = 5.043 Å, c = 6.832 Å
α = 90.00°, β = 115.06°, γ = 90.00°
Atoms (fractional coordinates):
Nb1 0.142 0.250 0.414
Nb2 0.858 0.750 0.586
Cu1 0.189 0.750 0.000
Cu2 0.811 0.250 0.000
Pd1 0.403 0.505 0.788
Pd2 0.403 0.995 0.788
Pd3 0.597 0.005 0.212
Pd4 0.597 0.495 0.212
Pt1 0.039 0.250 0.761
Pt2 0.404 0.750 0.436
Pt3 0.596 0.250 0.564
Pt4 0.961 0.750 0.239

# 3
Density functional theory data (PBE-GGA) for an optimized crystal structure of NbCuPdPt.

Properties
As for the space-group type: No. 216. For the total energy, the calculation gives -6.652 eV/atom.

a = 6.283 Å, b = 6.283 Å, c = 6.283 Å
α = 90.00°, β = 90.00°, γ = 90.00°
Atoms (fractional coordinates):
Nb1 0.000 0.000 0.000
Nb2 0.000 0.500 0.500
Nb3 0.500 0.000 0.500
Nb4 0.500 0.500 0.000
Cu1 0.000 0.000 0.500
Cu2 0.000 0.500 0.000
Cu3 0.500 0.000 0.000
Cu4 0.500 0.500 0.500
Pd1 0.250 0.250 0.250
Pd2 0.250 0.750 0.750
Pd3 0.750 0.250 0.750
Pd4 0.750 0.750 0.250
Pt1 0.250 0.250 0.750
Pt2 0.250 0.750 0.250
Pt3 0.750 0.250 0.250
Pt4 0.750 0.750 0.750

# 4
Density functional theory data (PBE-GGA) for an optimized crystal structure of Rb2NbCuPd.

Properties
As for the space-group type: No. 123. For the total energy, the calculation gives -2.801 eV/atom.

a = 6.828 Å, b = 6.828 Å, c = 4.891 Å
α = 90.00°, β = 90.00°, γ = 90.00°
Atoms (fractional coordinates):
Rb1 0.000 0.500 0.000
Rb2 0.500 0.000 0.000
Nb1 0.000 0.000 0.000
Cu1 0.000 0.000 0.500
Pd1 0.500 0.500 0.500

# 5
Density functional theory data (PBE-GGA) for an optimized crystal structure of NbCuPd2Rh.

Properties
As for the space-group type: No. 123. For the total energy, the calculation gives -5.505 eV/atom.

a = 4.464 Å, b = 4.464 Å, c = 4.494 Å
α = 90.00°, β = 90.00°, γ = 90.00°
Atoms (fractional coordinates):
Nb1 0.000 0.000 0.000
Cu1 0.500 0.500 0.500
Pd1 0.000 0.500 0.500
Pd2 0.500 0.000 0.500
Rh1 0.500 0.500 0.000

# 6
Density functional theory data (PBE-GGA) for an optimized crystal structure of SrNbCu2Pd.

Properties
As for the space-group type: No. 123. For the total energy, the calculation gives -4.020 eV/atom.

a = 4.857 Å, b = 4.857 Å, c = 5.232 Å
α = 90.00°, β = 90.00°, γ = 90.00°
Atoms (fractional coordinates):
Sr1 0.000 0.000 0.000
Nb1 0.500 0.500 0.000
Cu1 0.000 0.500 0.500
Cu2 0.500 0.000 0.500
Pd1 0.000 0.000 0.500

# 7
Density functional theory data (PBE-GGA) for an optimized crystal structure of TaNbCuPd.

Properties
As for the space-group type: No. 216. For the distance to the lowest polymorph of the same formula, the calculation gives 265 meV per atom. For the total energy, the calculation gives -7.651 eV/atom.

a = 6.378 Å, b = 6.378 Å, c = 6.378 Å
α = 90.00°, β = 90.00°, γ = 90.00°
Atoms (fractional coordinates):
Ta1 0.000 0.000 0.000
Ta2 0.000 0.500 0.500
Ta3 0.500 0.000 0.500
Ta4 0.500 0.500 0.000
Nb1 0.250 0.250 0.750
Nb2 0.250 0.750 0.250
Nb3 0.750 0.250 0.250
Nb4 0.750 0.750 0.750
Cu1 0.000 0.000 0.500
Cu2 0.000 0.500 0.000
Cu3 0.500 0.000 0.000
Cu4 0.500 0.500 0.500
Pd1 0.250 0.250 0.250
Pd2 0.250 0.750 0.750
Pd3 0.750 0.250 0.750
Pd4 0.750 0.750 0.250

# 8
Density functional theory data (PBE-GGA) for an optimized crystal structure of TaNbCuPd.

Properties
As for the space-group type: No. 99. For the distance to the lowest polymorph of the same formula, the calculation gives 0 meV per atom. For the total energy, the calculation gives -7.916 eV/atom.

a = 3.293 Å, b = 3.293 Å, c = 5.959 Å
α = 90.00°, β = 90.00°, γ = 90.00°
Atoms (fractional coordinates):
Ta1 0.000 0.000 0.000
Nb1 0.500 0.500 0.287
Cu1 0.000 0.000 0.518
Pd1 0.500 0.500 0.753

# 9
Density functional theory data (PBE-GGA) for an optimized crystal structure of NbZn2CuPd.

Properties
As for the space-group type: No. 123. For the total energy, the calculation gives -3.616 eV/atom.

a = 4.592 Å, b = 4.592 Å, c = 4.637 Å
α = 90.00°, β = 90.00°, γ = 90.00°
Atoms (fractional coordinates):
Nb1 0.000 0.000 0.000
Zn1 0.000 0.500 0.500
Zn2 0.500 0.000 0.500
Cu1 0.500 0.500 0.000
Pd1 0.500 0.500 0.500

# 10
Density functional theory data (PBE-GGA) for an optimized crystal structure of NbZnCuPd.

Properties
As for the space-group type: No. 216. For the total energy, the calculation gives -5.314 eV/atom.

a = 6.223 Å, b = 6.223 Å, c = 6.223 Å
α = 90.00°, β = 90.00°, γ = 90.00°
Atoms (fractional coordinates):
Nb1 0.000 0.000 0.000
Nb2 0.000 0.500 0.500
Nb3 0.500 0.000 0.500
Nb4 0.500 0.500 0.000
Zn1 0.000 0.000 0.500
Zn2 0.000 0.500 0.000
Zn3 0.500 0.000 0.000
Zn4 0.500 0.500 0.500
Cu1 0.250 0.250 0.250
Cu2 0.250 0.750 0.750
Cu3 0.750 0.250 0.750
Cu4 0.750 0.750 0.250
Pd1 0.250 0.250 0.750
Pd2 0.250 0.750 0.250
Pd3 0.750 0.250 0.250
Pd4 0.750 0.750 0.750

# 11
Density functional theory data (PBE-GGA) for an optimized crystal structure of PmNbCu.

Properties
As for the space-group type: No. 123. For the total energy, the calculation gives -6.141 eV/atom.

a = 3.453 Å, b = 3.453 Å, c = 10.640 Å
α = 90.00°, β = 90.00°, γ = 90.00°
Atoms (fractional coordinates):
Pm1 0.000 0.000 0.179
Pm2 0.000 0.000 0.821
Nb1 0.500 0.500 0.383
Nb2 0.500 0.500 0.617
Cu1 0.000 0.000 0.500
Cu2 0.500 0.500 0.000

# 12
Density functional theory data (PBE-GGA) for an optimized crystal structure of PmNbCuRu.

Properties
As for the space-group type: No. 216. For the total energy, the calculation gives -6.957 eV/atom.

a = 6.674 Å, b = 6.674 Å, c = 6.674 Å
α = 90.00°, β = 90.00°, γ = 90.00°
Atoms (fractional coordinates):
Pm1 0.000 0.000 0.000
Pm2 0.000 0.500 0.500
Pm3 0.500 0.000 0.500
Pm4 0.500 0.500 0.000
Nb1 0.000 0.000 0.500
Nb2 0.000 0.500 0.000
Nb3 0.500 0.000 0.000
Nb4 0.500 0.500 0.500
Cu1 0.250 0.250 0.250
Cu2 0.250 0.750 0.750
Cu3 0.750 0.250 0.750
Cu4 0.750 0.750 0.250
Ru1 0.250 0.250 0.750
Ru2 0.250 0.750 0.250
Ru3 0.750 0.250 0.250
Ru4 0.750 0.750 0.750

no.,ΔE_f (kcal/mol of atoms)
1,-0.73
2,0.03
3,-6.96
4,33.61
5,20.20
6,23.23
7,3.51
8,-2.60
9,17.65
10,-3.60
11,3.80
12,2.10